Zr3C2: relaxed, PBE-GGA.

a = 5.7930 Å, b = 10.0135 Å, c = 5.7922 Å
α = 90.00°, β = 109.76°, γ = 90.00°
With the nearest neighbours (Å) after each atom.
Space group C2/m (No. 12)
Asymmetric unit:
1 Zr 0.2359 0.0000 0.2437 x4  4 C 2.30-2.41
2 Zr 0.2475 0.1605 0.7654 x8  4 C 2.29-2.38
3 C 0.0000 0.0000 0.5000 x2  6 Zr 2.33-2.35
4 C 0.0000 0.1657 0.0000 x4  6 Zr 2.29-2.38
5 C 0.0000 0.5000 0.0000 x2  6 Zr 2.29-2.41

## Properties
Crystal system: monoclinic
VASP energy, eV per cell: -191.1



Cd: relaxed, PBE-GGA.

a = 5.6137 Å, b = 5.6137 Å, c = 5.6137 Å
α = 90.00°, β = 90.00°, γ = 90.00°
With the nearest neighbours (Å) after each atom.
Space group Pm-3n (No. 223)
Asymmetric unit:
1 Cd 0.0000 0.0000 0.0000 x2  12 Cd 3.14
2 Cd 0.0000 0.2500 0.5000 x6  6 Cd 2.81-3.14

## Properties
Crystal system: cubic
Excess energy over the best structure of this formula in the dataset, meV/atom: 19.5
Formation energy from the elements, eV per atom: 0.020



Cd: relaxed, PBE-GGA.

a = 2.9592 Å, b = 5.7542 Å, c = 5.1453 Å
α = 90.00°, β = 90.00°, γ = 90.00°
With the nearest neighbours (Å) after each atom.
Space group Cmcm (No. 63)
Asymmetric unit:
1 Cd 0.0000 0.1800 0.2500 x4  12 Cd 2.96-3.30

## Properties
Crystal system: orthorhombic
Excess energy over the best structure of this formula in the dataset, meV/atom: 4.6
Formation energy from the elements, eV per atom: 0.005



Cd: relaxed, PBE-GGA.

a = 4.8842 Å, b = 8.5669 Å, c = 4.9841 Å
α = 90.00°, β = 90.00°, γ = 90.00°
With the nearest neighbours (Å) after each atom.
Space group Cmce (No. 64)
Asymmetric unit:
1 Cd 0.0000 0.1563 0.0819 x8  7 Cd 2.80-3.03

## Properties
Crystal system: orthorhombic
Excess energy over the best structure of this formula in the dataset, meV/atom: 125.8
Formation energy from the elements, eV per atom: 0.126



Cd: relaxed, PBE-GGA.

a = 7.6313 Å, b = 7.6313 Å, c = 7.6313 Å
α = 90.00°, β = 90.00°, γ = 90.00°
With the nearest neighbours (Å) after each atom.
Space group P4_132 (No. 213)
Asymmetric unit:
1 Cd 0.0327 0.0327 0.0327 x8  12 Cd 2.99-3.27
2 Cd 0.0737 0.8750 0.6763 x12  10 Cd 2.99-3.27

## Properties
Crystal system: cubic
Excess energy over the best structure of this formula in the dataset, meV/atom: 19.0
Formation energy from the elements, eV per atom: 0.019



Cd: relaxed, PBE-GGA.

a = 4.2496 Å, b = 4.2496 Å, c = 4.7371 Å
α = 90.00°, β = 90.00°, γ = 120.00°
With the nearest neighbours (Å) after each atom.
Space group R-3m (No. 166, hexagonal axes)
Asymmetric unit:
1 Cd 0.0000 0.0000 0.0000 x3  6 Cd 2.92

## Properties
Crystal system: trigonal
Excess energy over the best structure of this formula in the dataset, meV/atom: 132.1
Formation energy from the elements, eV per atom: 0.132



Cd: relaxed, PBE-GGA.

a = 3.7727 Å, b = 3.7727 Å, c = 5.8577 Å
α = 90.00°, β = 90.00°, γ = 120.00°
With the nearest neighbours (Å) after each atom.
Space group R-3m (No. 166, hexagonal axes)
Asymmetric unit:
1 Cd 0.0000 0.0000 0.0000 x3  6 Cd 2.93

## Properties
Crystal system: trigonal
Excess energy over the best structure of this formula in the dataset, meV/atom: 106.0
Formation energy from the elements, eV per atom: 0.106



Cd: relaxed, PBE-GGA.

a = 4.4428 Å, b = 4.4428 Å, c = 4.4428 Å
α = 90.00°, β = 90.00°, γ = 90.00°
With the nearest neighbours (Å) after each atom.
Space group Fm-3m (No. 225)
Asymmetric unit:
1 Cd 0.0000 0.0000 0.0000 x4  12 Cd 3.14

## Properties
Crystal system: cubic
Excess energy over the best structure of this formula in the dataset, meV/atom: 0.2
Formation energy from the elements, eV per atom: 0.000



Cd: relaxed, PBE-GGA.

a = 3.5104 Å, b = 4.7011 Å, c = 11.0419 Å
α = 90.00°, β = 90.00°, γ = 90.00°
With the nearest neighbours (Å) after each atom.
Space group Fmmm (No. 69)
Asymmetric unit:
1 Cd 0.0000 0.0000 0.1327 x8  7 Cd 2.93-3.13

## Properties
Crystal system: orthorhombic
Excess energy over the best structure of this formula in the dataset, meV/atom: 73.7
Formation energy from the elements, eV per atom: 0.074



Cd: relaxed, PBE-GGA.

a = 3.1051 Å, b = 3.1051 Å, c = 4.5541 Å
α = 90.00°, β = 90.00°, γ = 90.00°
With the nearest neighbours (Å) after each atom.
Space group I4/mmm (No. 139)
Asymmetric unit:
1 Cd 0.0000 0.0000 0.0000 x2  12 Cd 3.11-3.16

## Properties
Crystal system: tetragonal
Excess energy over the best structure of this formula in the dataset, meV/atom: 1.8
Formation energy from the elements, eV per atom: 0.002



Cd: relaxed, PBE-GGA.

a = 3.1260 Å, b = 3.1260 Å, c = 23.2414 Å
α = 90.00°, β = 90.00°, γ = 120.00°
With the nearest neighbours (Å) after each atom.
Space group R-3m (No. 166, hexagonal axes)
Asymmetric unit:
1 Cd 0.0000 0.0000 0.0000 x3  12 Cd 3.13-3.15
2 Cd 0.0000 0.0000 0.2221 x6  12 Cd 3.13-3.15

## Properties
Crystal system: trigonal
Excess energy over the best structure of this formula in the dataset, meV/atom: 0.3
Formation energy from the elements, eV per atom: 0.000



Cd: relaxed, PBE-GGA.

a = 10.8848 Å, b = 10.8848 Å, c = 10.8848 Å
α = 90.00°, β = 90.00°, γ = 90.00°
With the nearest neighbours (Å) after each atom.
Space group I-43m (No. 217)
Asymmetric unit:
1 Cd 0.0000 0.0000 0.0000 x2  16 Cd 3.13-3.47
2 Cd 0.0549 0.3642 0.6358 x24  8 Cd 2.97-3.19
3 Cd 0.0967 0.0967 0.7124 x24  10 Cd 2.94-3.24
4 Cd 0.1660 0.1660 0.1660 x8  10 Cd 3.07-3.24

## Properties
Crystal system: cubic
Excess energy over the best structure of this formula in the dataset, meV/atom: 22.3
Formation energy from the elements, eV per atom: 0.022